Record 1
The following is a GGA-PBE calculation of crystalline RbZrVGe2 at its relaxed geometry, from the Alexandria database.

Calculated values
Its crystal system is tetragonal. The size of the total moment comes out at 0.2 μB per formula unit. For the formation enthalpy at 0 K, the calculation gives 0.7188 eV/atom. For the total energy, the calculation gives -4.855 eV/atom.

Lattice parameters (Å, degrees): 5.375 4.912 5.375 90.00 90.00 90.00
Positions (direct):
Ge 0.000 0.000 0.500
Ge 0.500 0.000 0.000
Rb 0.500 0.500 0.500
Zr 0.000 0.000 0.000
V 0.000 0.500 0.000

Record 2
The following is a GGA-PBE calculation of crystalline RbGe2W at its relaxed geometry, from the Alexandria database.

Calculated values
Its crystal system is tetragonal. As for the distance to the lowest polymorph of the same formula: 0.0000 eV per atom. The size of the total moment comes out at 0.0 μB per formula unit. For the formation enthalpy at 0 K, the calculation gives 0.4787 eV/atom. For the total energy, the calculation gives -5.310 eV/atom.

Lattice parameters (Å, degrees): 6.483 6.483 8.471 67.50 67.50 90.00
Positions (direct):
Ge 0.875 0.125 0.250
Ge 0.875 0.625 0.250
Ge 0.375 0.125 0.750
Ge 0.875 0.125 0.750
Rb 0.500 0.500 0.000
Rb 0.250 0.750 0.500
W 0.000 0.000 0.000
W 0.750 0.250 0.500

Record 3
The following is a GGA-PBE calculation of crystalline RbGe2W2 at its relaxed geometry, from the Alexandria database.

Calculated values
Its crystal system is tetragonal. As for the distance to the lowest polymorph of the same formula: 0.0000 eV per atom. The size of the total moment comes out at 0.0 μB per formula unit. For the formation enthalpy at 0 K, the calculation gives 0.6346 eV/atom. For the total energy, the calculation gives -6.587 eV/atom.

Lattice parameters (Å, degrees): 8.501 8.501 2.798 90.00 90.00 90.00
Positions (direct):
Ge 0.175 0.675 0.500
Ge 0.675 0.825 0.500
Ge 0.825 0.325 0.500
Ge 0.325 0.175 0.500
Rb 0.000 0.000 0.000
Rb 0.500 0.500 0.000
W 0.397 0.897 0.000
W 0.897 0.603 0.000
W 0.603 0.103 0.000
W 0.103 0.397 0.000

Record 4
The following is a GGA-PBE calculation of crystalline RbGe3W at its relaxed geometry, from the Alexandria database.

Calculated values
Its crystal system is cubic. As for the distance to the lowest polymorph of the same formula: 0.0000 eV per atom. The size of the total moment comes out at 0.0 μB per formula unit. For the formation enthalpy at 0 K, the calculation gives 0.1505 eV/atom. For the total energy, the calculation gives -5.404 eV/atom.

Lattice parameters (Å, degrees): 5.007 5.007 5.007 90.00 90.00 90.00
Positions (direct):
Ge 0.000 0.500 0.000
Ge 0.000 0.000 0.500
Ge 0.500 0.000 0.000
Rb 0.500 0.500 0.500
W 0.000 0.000 0.000

Record 5
The following is a GGA-PBE calculation of crystalline RbGe2W at its relaxed geometry, from the Alexandria database.

Calculated values
Its crystal system is cubic. As for the distance to the lowest polymorph of the same formula: 0.6768 eV per atom. The size of the total moment comes out at 2.4 μB per formula unit. For the formation enthalpy at 0 K, the calculation gives 1.1555 eV/atom. For the total energy, the calculation gives -4.633 eV/atom.

Lattice parameters (Å, degrees): 4.950 4.950 4.950 60.00 60.00 60.00
Positions (direct):
Ge 0.250 0.250 0.250
Ge 0.750 0.750 0.750
Rb 0.000 0.000 0.000
W 0.500 0.500 0.500

Record 6
The following is a GGA-PBE calculation of crystalline RbGe3W at its relaxed geometry, from the Alexandria database.

Calculated values
Its crystal system is cubic. As for the distance to the lowest polymorph of the same formula: 2.7052 eV per atom. The size of the total moment comes out at 0.0 μB per formula unit. For the formation enthalpy at 0 K, the calculation gives 2.8557 eV/atom. For the total energy, the calculation gives -2.699 eV/atom.

Lattice parameters (Å, degrees): 5.180 5.180 5.180 90.00 90.00 90.00
Positions (direct):
Ge 0.000 0.500 0.000
Ge 0.000 0.000 0.500
Ge 0.500 0.000 0.000
Rb 0.000 0.000 0.000
W 0.500 0.500 0.500

Record 7
The following is a GGA-PBE calculation of crystalline RbGe2W2 at its relaxed geometry, from the Alexandria database.

Calculated values
Its crystal system is tetragonal. As for the distance to the lowest polymorph of the same formula: 0.1048 eV per atom. The size of the total moment comes out at 0.0 μB per formula unit. For the formation enthalpy at 0 K, the calculation gives 0.7395 eV/atom. For the total energy, the calculation gives -6.482 eV/atom.

Lattice parameters (Å, degrees): 4.926 4.926 5.716 64.47 64.47 90.00
Positions (direct):
Ge 0.750 0.250 0.500
Ge 0.250 0.750 0.500
Rb 0.000 0.000 0.000
W 0.368 0.368 0.265
W 0.632 0.632 0.735

Record 8
The following is a GGA-PBE calculation of crystalline Rb2GeW at its relaxed geometry, from the Alexandria database.

Calculated values
Its crystal system is tetragonal. The size of the total moment comes out at 2.5 μB per formula unit. For the formation enthalpy at 0 K, the calculation gives 1.0643 eV/atom. For the total energy, the calculation gives -3.812 eV/atom.

Lattice parameters (Å, degrees): 13.742 13.742 10.022 46.72 46.72 90.00
Positions (direct):
Ge 0.500 0.500 0.000
Ge 0.250 0.750 0.500
Rb 0.407 0.125 0.250
Rb 0.343 0.625 0.250
Rb 0.375 0.593 0.750
Rb 0.875 0.657 0.750
W 0.000 0.000 0.000
W 0.750 0.250 0.500

Record 9
The following is a GGA-PBE calculation of crystalline RbGeW2 at its relaxed geometry, from the Alexandria database.

Calculated values
Its crystal system is tetragonal. The size of the total moment comes out at 0.0 μB per formula unit. For the formation enthalpy at 0 K, the calculation gives 1.5259 eV/atom. For the total energy, the calculation gives -6.347 eV/atom.

Lattice parameters (Å, degrees): 4.929 4.929 9.945 75.65 75.65 90.00
Positions (direct):
Ge 0.500 0.500 0.000
Ge 0.250 0.750 0.500
Rb 0.000 0.000 0.000
Rb 0.750 0.250 0.500
W 0.375 0.125 0.250
W 0.375 0.625 0.250
W 0.375 0.625 0.750
W 0.875 0.625 0.750

Record 10
The following is a GGA-PBE calculation of crystalline RbZn2GeW at its relaxed geometry, from the Alexandria database.

Calculated values
Its crystal system is tetragonal. The size of the total moment comes out at 2.1 μB per formula unit. For the formation enthalpy at 0 K, the calculation gives 1.5218 eV/atom. For the total energy, the calculation gives -2.695 eV/atom.

Lattice parameters (Å, degrees): 5.150 6.320 5.150 90.00 90.00 90.00
Positions (direct):
Zn 0.000 0.000 0.500
Zn 0.500 0.000 0.000
Ge 0.500 0.500 0.500
Rb 0.000 0.500 0.000
W 0.000 0.000 0.000

Record 11
The following is a GGA-PBE calculation of crystalline RbYGe at its relaxed geometry, from the Alexandria database.

Calculated values
Its crystal system is triclinic. As for the distance to the lowest polymorph of the same formula: 0.1538 eV per atom. The size of the total moment comes out at 0.0 μB per formula unit. For the formation enthalpy at 0 K, the calculation gives -0.2248 eV/atom. For the total energy, the calculation gives -4.241 eV/atom.

Lattice parameters (Å, degrees): 12.952 4.896 4.896 119.91 80.45 89.04
Positions (direct):
Y 0.576 0.390 0.261
Y 0.415 0.780 0.027
Ge 0.646 0.699 0.885
Ge 0.445 0.103 0.674
Rb 0.161 0.205 0.849
Rb 0.819 0.972 0.445

Record 12
The following is a GGA-PBE calculation of crystalline Rb2YGe at its relaxed geometry, from the Alexandria database.

Calculated values
Its crystal system is tetragonal. The size of the total moment comes out at 0.6 μB per formula unit. For the formation enthalpy at 0 K, the calculation gives 0.2719 eV/atom. For the total energy, the calculation gives -2.982 eV/atom.

Lattice parameters (Å, degrees): 13.571 13.571 9.984 47.19 47.19 90.00
Positions (direct):
Y 0.000 0.000 0.000
Y 0.750 0.250 0.500
Ge 0.500 0.500 0.000
Ge 0.250 0.750 0.500
Rb 0.461 0.125 0.250
Rb 0.289 0.625 0.250
Rb 0.375 0.539 0.750
Rb 0.875 0.711 0.750

Record 13
The following is a GGA-PBE calculation of crystalline RbYGe at its relaxed geometry, from the Alexandria database.

Calculated values
Its crystal system is monoclinic. As for the distance to the lowest polymorph of the same formula: 0.2115 eV per atom. The size of the total moment comes out at 0.0 μB per formula unit. For the formation enthalpy at 0 K, the calculation gives -0.1672 eV/atom. For the total energy, the calculation gives -4.184 eV/atom.

Lattice parameters (Å, degrees): 4.313 6.805 9.009 90.00 86.01 90.00
Positions (direct):
Y 0.604 0.000 0.531
Y 0.633 0.500 0.335
Ge 0.118 0.250 0.433
Ge 0.118 0.750 0.433
Rb 0.217 0.000 0.087
Rb 0.005 0.500 0.778